# PBE-GGA Cu2ReSb, optimized geometry
data_Cu2ReSb
_chemical_formula_sum 'Cu2 Re1 Sb1'
_symmetry_space_group_name_H-M 'P 4/m m m'
_symmetry_Int_Tables_number 123
_symmetry_space_group_name_Hall '-P 4 2'
_cell_length_a 2.8357
_cell_length_b 2.8357
_cell_length_c 8.1966
_cell_angle_alpha 90.00
_cell_angle_beta 90.00
_cell_angle_gamma 90.00
loop_
_atom_site_label
_atom_site_fract_x
_atom_site_fract_y
_atom_site_fract_z
Cu1 0.0000 0.0000 0.2155
Re1 0.5000 0.5000 0.0000
Sb1 0.5000 0.5000 0.5000
# Total magnetization   0.00 μB/f.u.
# E_tot   -5.656 eV/atom
# V   65.9 Å³ per cell
# DOS(E_F)   0.68 states/eV per atom
# Formation energy without anion corrections   0.5350 eV per atom